# Sc2CdBr

Sc2CdBr after structural relaxation (PBE-GGA, Alexandria).

Energy relative to the lowest polymorph listed for this composition = 86.0 meV/atom
N(E_F) = 0.88 states/eV per atom
Energy relative to the elements, uncorrected = -0.4112 eV/atom
M_tot = 1.5 μB per formula unit
Raw total energy = -4.224 eV/atom
Symmetry = No. 123

a = 3.3066 Å, b = 3.3066 Å, c = 8.1124 Å
α = 90.00°, β = 90.00°, γ = 90.00°
Closest atoms and distances in Å follow each position.
Atoms (fractional coordinates):
Sc1 0.0000 0.0000 0.2495  4 Cd 3.09, 4 Br 3.10, 4 Sc 3.31
Sc2 0.0000 0.0000 0.7505  4 Cd 3.09, 4 Br 3.10, 4 Sc 3.31
Cd1 0.5000 0.5000 0.0000  8 Sc 3.09, 4 Cd 3.31
Br1 0.5000 0.5000 0.5000  8 Sc 3.10, 4 Br 3.31